[1]
First-principles (PBE) data for crystalline Pa2TeO8 at its relaxed geometry, as listed in Alexandria via LeMat-Bulk.

Computed properties:
- Formation energy (no corrections): -28.7 eV/f.u.
- Space group: C2/m

Lattice parameters (Å, degrees): 4.686 6.474 6.474 66.57 60.61 60.61
Element x y z (fractional)
Pa 0.014 0.663 0.663
Pa 0.986 0.337 0.337
Te 0.000 0.000 0.000
O 0.986 0.324 0.949
O 0.014 0.051 0.676
O 0.502 0.866 0.866
O 0.498 0.134 0.134
O 0.986 0.949 0.324
O 0.014 0.676 0.051
O 0.647 0.576 0.576
O 0.353 0.424 0.424

***

[2]
First-principles (PBE) data for crystalline Pa3Te2O2 at its relaxed geometry, as listed in Alexandria via LeMat-Bulk.

Computed properties:
- Formation energy (no corrections): -12.9 eV/f.u.
- Space group: C2/m

Lattice parameters (Å, degrees): 3.946 7.785 7.026 129.67 106.31 90.00
Last column: magnetic moment on the atom in μB.
Element x y z (fractional)
Pa 0.000 0.000 0.000  0.98
Pa 0.184 0.619 0.369  1.13
Pa 0.816 0.381 0.631  1.13
Te 0.423 0.204 0.847  -0.03
Te 0.577 0.796 0.153  -0.03
O 0.217 0.350 0.434  -0.03
O 0.783 0.650 0.566  -0.03

***

[3]
First-principles (PBE) data for crystalline PaTe2O5 at its relaxed geometry, as listed in Alexandria via LeMat-Bulk.

Computed properties:
- Formation energy (no corrections): -15.2 eV/f.u.
- Space group: P2_1/m

Lattice parameters (Å, degrees): 4.248 7.555 12.871 90.00 90.00 124.18
Element x y z (fractional)
Pa 0.174 0.499 0.750
Pa 0.826 0.501 0.250
Te 0.625 0.001 0.385
Te 0.625 0.001 0.115
Te 0.375 0.999 0.615
Te 0.375 0.999 0.885
O 0.425 0.762 0.867
O 0.425 0.762 0.633
O 0.100 0.764 0.366
O 0.100 0.764 0.134
O 0.325 0.501 0.250
O 0.675 0.499 0.750
O 0.900 0.236 0.634
O 0.900 0.236 0.866
O 0.575 0.238 0.133
O 0.575 0.238 0.367

***

[4]
First-principles (PBE) data for crystalline Pa2TeO4 at its relaxed geometry, as listed in Alexandria via LeMat-Bulk.

Computed properties:
- Formation energy (no corrections): -21.3 eV/f.u.
- Space group: R-3m

Lattice parameters (Å, degrees): 3.890 3.890 8.605 76.94 76.94 60.00
Element x y z (fractional)
Pa 0.230 0.230 0.311
Pa 0.770 0.770 0.689
Te 0.000 0.000 0.000
O 0.427 0.427 0.718
O 0.140 0.140 0.579
O 0.573 0.573 0.282
O 0.860 0.860 0.421

***

[5]
First-principles (PBE) data for crystalline PaTeO4 at its relaxed geometry, as listed in Alexandria via LeMat-Bulk.

Computed properties:
- Formation energy (no corrections): -13.1 eV/f.u.
- Space group: Cmmm

Lattice parameters (Å, degrees): 3.720 4.988 4.988 89.55 90.00 90.00
Last column: magnetic moment on the atom in μB.
Element x y z (fractional)
Pa 0.500 0.000 0.000  0.19
Te 0.000 0.500 0.500  0.00
O 0.500 0.308 0.692  -0.01
O 0.000 0.814 0.814  -0.01
O 0.000 0.186 0.186  -0.01
O 0.500 0.692 0.308  -0.01

***

[6]
First-principles (PBE) data for crystalline Pa2TeO3 at its relaxed geometry, as listed in Alexandria via LeMat-Bulk.

Computed properties:
- Formation energy (no corrections): -17.0 eV/f.u.
- Space group: C2/m

Lattice parameters (Å, degrees): 3.867 7.399 8.471 111.53 90.00 105.15
Last column: magnetic moment on the atom in μB.
Element x y z (fractional)
Pa 0.479 0.958 0.767  0.90
Pa 0.521 0.042 0.233  0.90
Pa 0.822 0.644 0.376  0.96
Pa 0.178 0.356 0.624  0.96
Te 0.857 0.714 0.938  -0.04
Te 0.143 0.286 0.062  -0.04
O 0.319 0.638 0.557  -0.03
O 0.960 0.920 0.626  -0.02
O 0.611 0.221 0.688  -0.03
O 0.389 0.779 0.312  -0.03
O 0.040 0.080 0.374  -0.02
O 0.681 0.362 0.443  -0.03

***

[7]
First-principles (PBE) data for crystalline Pa5Te5O2 at its relaxed geometry, as listed in Alexandria via LeMat-Bulk.

Computed properties:
- Formation energy (no corrections): -16.1 eV/f.u.
- Space group: C2/m

Lattice parameters (Å, degrees): 3.882 7.278 10.936 99.18 90.00 105.47
Last column: magnetic moment on the atom in μB.
Element x y z (fractional)
Pa 0.099 0.198 0.322  1.07
Pa 0.643 0.285 0.802  0.87
Pa 0.357 0.715 0.198  0.87
Pa 0.901 0.802 0.678  1.07
Pa 0.000 0.000 0.000  1.00
Te 0.500 0.000 0.500  -0.03
Te 0.669 0.338 0.102  -0.03
Te 0.782 0.565 0.392  -0.03
Te 0.218 0.435 0.608  -0.03
Te 0.331 0.662 0.898  -0.03
O 0.055 0.110 0.805  -0.03
O 0.945 0.890 0.195  -0.03

***

[8]
First-principles (PBE) data for crystalline Pa3Te3O at its relaxed geometry, as listed in Alexandria via LeMat-Bulk.

Computed properties:
- Formation energy (no corrections): -8.8 eV/f.u.
- Space group: Cmcm

Lattice parameters (Å, degrees): 6.120 8.039 8.039 99.13 90.00 90.00
Last column: magnetic moment on the atom in μB.
Element x y z (fractional)
Pa 0.750 0.563 0.852  0.77
Pa 0.750 0.148 0.437  0.77
Pa 0.750 0.127 0.873  1.02
Pa 0.250 0.437 0.148  0.77
Pa 0.250 0.852 0.563  0.77
Pa 0.250 0.873 0.127  1.02
Te 0.250 0.583 0.809  -0.02
Te 0.250 0.191 0.417  -0.02
Te 0.250 0.127 0.873  -0.02
Te 0.750 0.417 0.191  -0.02
Te 0.750 0.809 0.583  -0.02
Te 0.750 0.873 0.127  -0.02
O 0.750 0.317 0.683  -0.03
O 0.250 0.683 0.317  -0.03